The following is a PBE calculation of Er2Tl3AgTe6 after structural relaxation, from Alexandria via LeMat-Bulk.

```
data_Er2Tl3AgTe6
_cell_length_a 7.659
_cell_length_b 7.659
_cell_length_c 8.164
_cell_angle_alpha 98.88
_cell_angle_beta 98.88
_cell_angle_gamma 120.14
_symmetry_space_group_name_H-M 'P 1'
_symmetry_Int_Tables_number 1
_symmetry_space_group_name_Hall 'P 1'
loop_
_atom_site_label
_atom_site_type_symbol
_atom_site_fract_x
_atom_site_fract_y
_atom_site_fract_z
_atom_site_occupancy
Er1 Er 0.164 0.836 0.000 1
Er2 Er 0.836 0.164 0.000 1
Tl1 Tl 0.000 0.000 0.500 1
Tl2 Tl 0.322 0.678 0.500 1
Tl3 Tl 0.678 0.322 0.500 1
Ag1 Ag 0.500 0.500 0.000 1
Te1 Te 0.102 0.431 0.787 1
Te2 Te 0.242 0.242 0.224 1
Te3 Te 0.431 0.102 0.787 1
Te4 Te 0.569 0.898 0.213 1
Te5 Te 0.758 0.758 0.776 1
Te6 Te 0.898 0.569 0.213 1
```

Calculated values
space group	No. 12
E_tot	-45.97	eV/cell